[1]
Compound: LaCo2Tc2
Source: the Alexandria database
Functional: PBE-GGA
Structure: relaxed

Computed properties:
As for the distance to the lowest polymorph of the same formula: 83 meV per atom. The calculation puts the spin magnetization at 1.21 μB per cell. The mass density comes out at 9.63 g/cm3. As for the energy of formation: 271 meV/atom. Its symmetry is P4/mbm (127).

Structure (POSCAR):
```
LaCo2Tc2
1.0
-3.2841 1.1769 6.6979
4.3053 -5.3979 3.0594
1.9076 1.8658 0.6075
Co Tc La
4 4 2
Cartesian
3.2786 -2.4777 3.4786
2.3374 -2.7680 7.3256
-0.3498 0.1226 6.8862
0.5913 0.4128 3.0392
2.5404 -4.3017 5.2347
-0.2185 -2.3129 7.7900
-1.5192 0.0807 4.5227
1.2397 -1.9081 1.9674
0.0000 0.0000 0.0000
0.5106 -2.1105 4.8787
```

[2]
Compound: LaCoTc2
Source: the Alexandria database
Functional: PBE-GGA
Structure: relaxed

Computed properties:
As for the distance to the lowest polymorph of the same formula: 257 meV per atom. The calculation puts the spin magnetization at 1.05 μB per cell. The mass density comes out at 9.12 g/cm3. As for the energy of formation: 389 meV/atom. Its symmetry is P4/mmm (123).

Structure (POSCAR):
```
LaCoTc2
1.0
-2.1456 -0.5143 2.2443
2.3025 -0.3261 2.1265
-0.2635 7.0913 1.3730
Co La Tc
1 1 2
Cartesian
0.0126 1.3526 2.5286
-0.1192 4.8983 3.2151
-0.0217 0.5848 0.1132
-0.1100 2.9609 0.5733
```